# 1
CaCoTc3 (PBE, optimized geometry); DFT formation energy = 2.85 eV/atom; total moment = 0.00 μB/f.u.
1.0
4.483 0.000 0.000
0.000 4.483 0.000
0.000 0.000 4.483
Ca Co Tc
1 1 3
Cartesian
0.000 0.000 0.000
2.241 2.241 2.241
0.000 0.000 2.241
0.000 2.241 0.000
2.241 0.000 0.000

---

# 2
CePr2Pt (PBE, optimized geometry); DFT formation energy = -0.42 eV/atom; total moment = 1.39 μB/f.u.
1.0
3.674 0.000 0.000
0.000 3.674 0.000
0.000 0.000 8.504
Ce Pr Pt
1 2 1
Cartesian
0.000 0.000 0.000
1.837 1.837 2.525
1.837 1.837 5.979
0.000 0.000 4.252

---

# 3
InCuTc2 (PBE, optimized geometry); DFT formation energy = 0.34 eV/atom; total moment = 0.00 μB/f.u.
1.0
3.205 0.000 0.000
0.000 4.251 0.000
0.000 0.000 4.564
In Cu Tc
1 1 2
Cartesian
0.000 0.000 0.000
1.602 2.126 0.000
0.000 2.126 2.282
1.602 0.000 2.282

---

# 4
Na3Sn4Cl12 (PBE, optimized geometry); uncorrected formation energy = -1.207 eV per atom; total moment = 0.00 μB/f.u.
1.0
-5.266 5.266 5.266
5.266 -5.266 5.266
5.266 5.266 -5.266
Na Sn Cl
3 4 12
Cartesian
5.266 0.000 0.000
0.000 5.266 0.000
0.000 0.000 5.266
2.633 2.633 -2.633
2.633 -2.633 2.633
-2.633 2.633 2.633
2.633 2.633 2.633
5.266 -1.987 3.278
3.279 1.988 0.000
7.253 1.988 0.000
3.278 5.266 -1.987
1.988 0.000 3.279
0.000 3.279 1.988
5.266 1.987 3.278
3.278 5.266 1.987
1.988 0.000 7.253
-1.987 3.278 5.266
1.987 3.278 5.266
0.000 7.253 1.988

---

# 5
Nd3SmEr7 (PBE, optimized geometry); DFT formation energy = 0.15 eV/atom; total moment = 0.00 μB/f.u.
1.0
6.966 0.000 0.000
0.000 5.511 0.000
-3.438 0.000 9.401
Nd Sm Er
3 1 7
Cartesian
0.000 0.000 0.000
0.256 2.756 4.688
3.272 2.756 4.713
3.483 0.000 0.000
-1.719 0.000 4.701
-1.696 2.756 7.415
1.754 2.756 1.304
1.779 0.000 3.102
1.749 0.000 6.300
1.774 2.756 8.098
5.224 2.756 1.986

---

# 6
GeHSN2 (PBE, optimized geometry); calculated total energy = -4.031 eV/atom; total moment = 2.38 μB/f.u.
1.0
3.672 0.000 0.000
0.000 3.672 0.000
0.000 0.000 5.314
Ge H S N
1 1 1 2
Cartesian
0.000 0.000 0.000
1.836 1.836 2.657
0.000 0.000 2.657
0.000 1.836 0.000
1.836 0.000 0.000